First-principles (PBE-GGA) data for NdDyGeCl after structural relaxation, as listed in the Alexandria database.

Results
The formation energy without anion corrections comes out at -0.95 eV/atom. The volume comes out at 30.402 Å³/atom. As for the total magnetization: 0.000 μB per atom. As for the symmetry: Amm2, No. 38.

abc: 4.887 4.932 5.809
angles: 90.00 90.00 119.70
Fractional positions:
Nd  0.169  0.337  0.500
Dy  0.837  0.675  0.000
Ge  0.169  0.337  0.000
Cl  0.838  0.675  0.500

First-principles (PBE-GGA) data for AgHgOF2 after structural relaxation, as listed in the Alexandria database.

Results
The formation energy without anion corrections comes out at -0.50 eV/atom. The volume comes out at 15.434 Å³/atom. As for the total magnetization: 0.000 μB per atom. As for the symmetry: P4/mmm, No. 123. The calculation puts the energy relative to the lowest polymorph listed for this composition at 0.000 eV/atom.

abc: 4.256 4.256 4.260
angles: 90.00 90.00 90.00
Fractional positions:
O  0.000  0.000  0.500
Hg  0.500  0.500  0.500
Ag  0.000  0.000  0.000
F  0.000  0.500  0.000
F  0.500  0.000  0.000

First-principles (PBE-GGA) data for La2Tb2Pr5 after structural relaxation, as listed in the Alexandria database.

Results
The volume comes out at 35.497 Å³/atom. Its formation energy is 0.02 eV per atom. As for the total magnetization: 0.000 μB per atom. As for the symmetry: C2/m, No. 12. The calculation puts the energy relative to the lowest polymorph listed for this composition at 0.000 eV/atom.

abc: 5.231 8.237 8.240
angles: 107.41 108.51 90.00
Fractional positions:
La  0.667  0.000  0.333
La  0.333  0.000  0.667
Tb  0.777  0.664  0.555
Tb  0.223  0.336  0.445
Pr  0.558  0.335  0.115
Pr  0.442  0.665  0.885
Pr  0.887  0.335  0.775
Pr  0.113  0.665  0.225
Pr  0.000  0.000  0.000